DFT (PBE-GGA) results for a geometry-optimized YHfNbCr2 structure. Values from VASP.

Structure (Quantum ESPRESSO input):
```
&SYSTEM
  ibrav = 0, nat = 5, ntyp = 4
/
ATOMIC_SPECIES
Cr 52.00 Cr.upf
Hf 178.49 Hf.upf
Y 88.91 Y.upf
Nb 92.91 Nb.upf
CELL_PARAMETERS angstrom
4.681 0.000 0.000
0.000 5.103 0.000
0.000 0.000 4.681
ATOMIC_POSITIONS angstrom
Cr 0.000 0.000 2.341
Cr 2.341 0.000 0.000
Hf 0.000 2.552 0.000
Y 0.000 0.000 0.000
Nb 2.341 2.552 2.341
```

Values from the calculation:
As for the space group: P4/mmm (123). As for the total energy: -35.8 eV per cell. Its density of states at the Fermi level is 6.48 states/eV per cell. The calculation puts the total magnetization at 4.50 μB per formula unit.